Entry 1:
Computed, not measured: crystalline ZrSiTc at its relaxed geometry at the GGA-PBE level of DFT.

Properties
Total DFT energy (no corrections) (eV per atom): -8.316
Total magnetization (μB/atom): 0.000
Formation energy (no corrections) (meV per atom): -204
ΔE to the lowest computed polymorph (eV/atom): 0.675

Lattice parameters (Å, degrees): 3.410 3.410 5.301 90.00 90.00 120.00
Positions (direct):
1 Si 0.000 0.000 0.032
2 Tc 0.667 0.333 0.283
3 Zr 0.333 0.667 0.685


Entry 2:
Computed, not measured: crystalline Sm2GePPd6 at its relaxed geometry at the GGA-PBE level of DFT.

Properties
Total DFT energy (no corrections) (eV per atom): -5.823
Formation enthalpy at 0 K (eV per atom): -0.7607
Total magnetization (μB/atom): 0.000

Lattice parameters (Å, degrees): 5.568 8.049 8.704 90.00 90.00 90.00
Positions (direct):
1 Pd 0.253 0.476 0.500
2 Pd 0.000 0.879 0.752
3 Pd 0.247 0.524 0.000
4 Pd 0.750 0.994 0.500
5 Pd 0.500 0.121 0.748
6 Pd 0.750 0.006 0.000
7 Pd 0.250 0.994 0.500
8 Pd 0.000 0.879 0.248
9 Pd 0.500 0.121 0.252
10 Pd 0.747 0.476 0.500
11 Pd 0.753 0.524 0.000
12 Pd 0.250 0.006 0.000
13 Sm 0.000 0.265 0.241
14 Sm 0.000 0.265 0.759
15 Sm 0.500 0.735 0.741
16 Sm 0.500 0.735 0.259
17 Ge 0.000 0.726 0.500
18 Ge 0.500 0.274 0.000
19 P 0.000 0.759 0.000
20 P 0.500 0.241 0.500


Entry 3:
Computed, not measured: crystalline MgTi at its relaxed geometry at the GGA-PBE level of DFT.

Properties
Total DFT energy (no corrections) (eV per atom): -4.627
Formation enthalpy at 0 K (eV per atom): 0.1178
Total magnetization (μB/atom): 0.195

Lattice parameters (Å, degrees): 4.327 4.336 8.261 90.00 90.00 90.00
Positions (direct):
1 Mg 0.000 0.417 0.243
2 Mg 0.500 0.417 0.500
3 Mg 0.000 0.917 0.500
4 Mg 0.000 0.417 0.757
5 Ti 0.500 0.917 0.781
6 Ti 0.500 0.917 0.219
7 Ti 0.000 0.917 0.000
8 Ti 0.500 0.417 0.000


Entry 4:
Computed, not measured: crystalline La8Bi4Te3As at its relaxed geometry at the GGA-PBE level of DFT.

Properties
Total DFT energy (no corrections) (eV per atom): -5.651
Total magnetization (μB/atom): 0.000
Formation energy (no corrections) (meV per atom): -1338

Lattice parameters (Å, degrees): 9.254 9.224 9.254 120.11 120.00 90.00
Positions (direct):
1 La 0.241 0.258 0.999
2 La 0.242 0.743 0.483
3 La 0.758 0.257 0.517
4 La 0.758 0.258 0.999
5 La 0.250 0.249 0.499
6 La 0.750 0.751 0.501
7 La 0.759 0.742 0.001
8 La 0.242 0.742 0.001
9 Te 0.500 0.500 0.500
10 Te 0.000 0.500 0.500
11 Te 0.500 0.500 0.000
12 Bi 0.000 0.000 0.500
13 Bi 0.000 0.000 0.000
14 Bi 0.500 0.000 0.500
15 Bi 0.500 0.000 0.000
16 As 0.000 0.500 0.000


> What is the formula in the second record?

Sm2GePPd6


> Which of these has the highest total DFT energy (no corrections)?

MgTi